DFT (PBE) results for a relaxed structure of Cs4Pm3YS8.

Properties
- formation energy without anion corrections (kcal/mol of atoms) = -42.00
- crystal system = trigonal
- V (Å³ per atom) = 30.79
- E (eV/f.u.) = -86.29
- M_tot (μB/cell) = 0.0

Cell: 8.3863 8.3863 24.2655 Å, 90.00 90.00 120.00°
Space group R-3m (No. 166, hexagonal axes)
Unique sites:
Cs 0.0000 0.0000 0.0000
Cs 0.0000 0.5000 0.0000
Pm 0.0000 0.5000 0.5000
Y 0.0000 0.0000 0.5000
S 0.0000 0.0000 0.2287
S 0.0055 0.5027 0.2280

DFT (PBE) results for a relaxed structure of Pm4Nd2SmTm2.

Properties
- crystal system = monoclinic
- V (Å³ per atom) = 33.49
- E (eV/f.u.) = -42.02
- M_tot (μB/cell) = 0.0

Cell: 15.379 5.124 8.070 Å, 90.00 108.58 90.00°
Space group C2/m (No. 12)
Unique sites:
Pm 0.055 0.000 0.331
Pm 0.222 0.500 0.330
Nd 0.112 0.500 0.668
Sm 0.000 0.500 0.000
Tm 0.168 0.000 0.000